[1]
# CdSiW | Alexandria | GGA-PBEsol | relaxed
data_CdSiW
_cell_length_a 6.168
_cell_length_b 6.168
_cell_length_c 6.168
_cell_angle_alpha 90.00
_cell_angle_beta 90.00
_cell_angle_gamma 90.00
_symmetry_space_group_name_H-M 'F -4 3 m'
_symmetry_Int_Tables_number 216
_symmetry_space_group_name_Hall 'F -4 2 3'
loop_
_atom_site_label
_atom_site_fract_x
_atom_site_fract_y
_atom_site_fract_z
_atom_site_occupancy
Cd1 0.000 0.000 0.000 1
Si1 0.250 0.250 0.250 1
W1 0.250 0.250 0.750 1
# uncorrected formation energy	4.9	eV per formula unit
# size of the total moment	2.3	μB per formula unit



[2]
# TcAg2Ir | Alexandria | GGA-PBEsol | relaxed
data_TcAg2Ir
_cell_length_a 4.671
_cell_length_b 2.737
_cell_length_c 4.971
_cell_angle_alpha 90.00
_cell_angle_beta 108.54
_cell_angle_gamma 90.00
_symmetry_space_group_name_H-M 'P 1 2/m 1'
_symmetry_Int_Tables_number 10
_symmetry_space_group_name_Hall '-P 2y'
loop_
_atom_site_label
_atom_site_fract_x
_atom_site_fract_y
_atom_site_fract_z
_atom_site_occupancy
Tc1 0.000 0.000 0.000 1
Ag1 0.000 0.500 0.500 1
Ag2 0.500 0.000 0.500 1
Ir1 0.500 0.500 0.000 1
# size of the total moment	0.0	μB per formula unit
# formation energy	0.424	eV per atom



[3]
# BeRe2Ir | Alexandria | GGA-PBEsol | relaxed
data_BeRe2Ir
_cell_length_a 8.990
_cell_length_b 2.742
_cell_length_c 4.431
_cell_angle_alpha 90.00
_cell_angle_beta 100.39
_cell_angle_gamma 90.00
_symmetry_space_group_name_H-M 'C 1 2/m 1'
_symmetry_Int_Tables_number 12
_symmetry_space_group_name_Hall '-C 2y'
loop_
_atom_site_label
_atom_site_fract_x
_atom_site_fract_y
_atom_site_fract_z
_atom_site_occupancy
Be1 0.000 0.000 0.000 1
Re1 0.247 0.000 0.753 1
Ir1 0.000 0.500 0.500 1
# size of the total moment	0.0	μB per formula unit
# formation energy	0.042	eV per atom



[4]
# K3EuF6 | Alexandria | GGA-PBEsol | relaxed
data_K3EuF6
_cell_length_a 9.351
_cell_length_b 9.351
_cell_length_c 9.351
_cell_angle_alpha 90.00
_cell_angle_beta 90.00
_cell_angle_gamma 90.00
_symmetry_space_group_name_H-M 'F m -3 m'
_symmetry_Int_Tables_number 225
_symmetry_space_group_name_Hall '-F 4 2 3'
loop_
_atom_site_label
_atom_site_fract_x
_atom_site_fract_y
_atom_site_fract_z
_atom_site_occupancy
K1 0.000 0.000 0.000 1
K2 0.250 0.250 0.250 1
Eu1 0.000 0.000 0.500 1
F1 0.000 0.000 0.265 1
# uncorrected formation energy	-30.2	eV per formula unit
# size of the total moment	6.0	μB per formula unit



[5]
# BaLiRe | Alexandria | GGA-PBEsol | relaxed
data_BaLiRe
_cell_length_a 5.1233
_cell_length_b 5.1233
_cell_length_c 2.8388
_cell_angle_alpha 90.00
_cell_angle_beta 90.00
_cell_angle_gamma 120.00
_symmetry_space_group_name_H-M 'P 3 m 1'
_symmetry_Int_Tables_number 156
_symmetry_space_group_name_Hall 'P 3 -2"'
loop_
_atom_site_label
_atom_site_fract_x
_atom_site_fract_y
_atom_site_fract_z
_atom_site_occupancy
Ba1 0.0000 0.0000 0.0000 1
Li1 0.3333 0.6667 0.7169 1
Re1 0.6667 0.3333 0.4630 1
# size of the total moment	0.0	μB per formula unit
# formation energy	1.081	eV per atom



[6]
# Ta2TcBr | Alexandria | GGA-PBEsol | relaxed
data_Ta2TcBr
_cell_length_a 3.143
_cell_length_b 3.143
_cell_length_c 7.164
_cell_angle_alpha 90.00
_cell_angle_beta 90.00
_cell_angle_gamma 90.00
_symmetry_space_group_name_H-M 'P 4 m m'
_symmetry_Int_Tables_number 99
_symmetry_space_group_name_Hall 'P 4 -2'
loop_
_atom_site_label
_atom_site_fract_x
_atom_site_fract_y
_atom_site_fract_z
_atom_site_occupancy
Ta1 0.000 0.000 0.000 1
Ta2 0.500 0.500 0.255 1
Tc1 0.000 0.000 0.442 1
Br1 0.500 0.500 0.746 1
# uncorrected formation energy	0.9	eV per formula unit
# size of the total moment	0.0	μB per formula unit



[7]
# Mg2Cr3CoS8 | Alexandria | GGA-PBEsol | relaxed
data_Mg2Cr3CoS8
_cell_length_a 7.0552
_cell_length_b 7.0552
_cell_length_c 17.2505
_cell_angle_alpha 90.00
_cell_angle_beta 90.00
_cell_angle_gamma 120.00
_symmetry_space_group_name_H-M 'R -3 m'
_symmetry_Int_Tables_number 166
_symmetry_space_group_name_Hall '-R 3 2"'
loop_
_atom_site_label
_atom_site_fract_x
_atom_site_fract_y
_atom_site_fract_z
_atom_site_occupancy
Mg1 0.0000 0.0000 0.1250 1
Cr1 0.0000 0.5000 0.0000 1
Co1 0.0000 0.0000 0.5000 1
S1 0.0000 0.0000 0.2636 1
S2 0.0455 0.5227 0.2510 1
# uncorrected formation energy	-11.5	eV per formula unit
# size of the total moment	9.0	μB per formula unit



[8]
# Mn2ZnRh | Alexandria | GGA-PBEsol | relaxed
data_Mn2ZnRh
_cell_length_a 5.879
_cell_length_b 5.879
_cell_length_c 5.879
_cell_angle_alpha 90.00
_cell_angle_beta 90.00
_cell_angle_gamma 90.00
_symmetry_space_group_name_H-M 'F -4 3 m'
_symmetry_Int_Tables_number 216
_symmetry_space_group_name_Hall 'F -4 2 3'
loop_
_atom_site_label
_atom_site_fract_x
_atom_site_fract_y
_atom_site_fract_z
_atom_site_occupancy
Mn1 0.000 0.000 0.000 1
Mn2 0.250 0.250 0.250 1
Zn1 0.000 0.000 0.500 1
Rh1 0.250 0.250 0.750 1
# size of the total moment	1.0	μB per formula unit
# formation energy	-0.057	eV per atom



[9]
# Zr2CdP | Alexandria | GGA-PBEsol | relaxed
data_Zr2CdP
_cell_length_a 4.338
_cell_length_b 4.338
_cell_length_c 7.880
_cell_angle_alpha 90.00
_cell_angle_beta 90.00
_cell_angle_gamma 90.00
_symmetry_space_group_name_H-M 'I 4/m m m'
_symmetry_Int_Tables_number 139
_symmetry_space_group_name_Hall '-I 4 2'
loop_
_atom_site_label
_atom_site_fract_x
_atom_site_fract_y
_atom_site_fract_z
_atom_site_occupancy
Zr1 0.000 0.500 0.250 1
Cd1 0.000 0.000 0.000 1
P1 0.000 0.000 0.500 1
# size of the total moment	0.0	μB per formula unit
# formation energy	-0.416	eV per atom



[10]
# CdPtAu2 | Alexandria | GGA-PBEsol | relaxed
data_CdPtAu2
_cell_length_a 5.736
_cell_length_b 7.933
_cell_length_c 2.957
_cell_angle_alpha 90.00
_cell_angle_beta 90.00
_cell_angle_gamma 90.00
_symmetry_space_group_name_H-M 'C m m m'
_symmetry_Int_Tables_number 65
_symmetry_space_group_name_Hall '-C 2 2'
loop_
_atom_site_label
_atom_site_fract_x
_atom_site_fract_y
_atom_site_fract_z
_atom_site_occupancy
Cd1 0.000 0.000 0.000 1
Pt1 0.000 0.500 0.000 1
Au1 0.250 0.250 0.500 1
# size of the total moment	0.0	μB per formula unit
# formation energy	-0.096	eV per atom



[11]
# Cd2IrAu | Alexandria | GGA-PBEsol | relaxed
data_Cd2IrAu
_cell_length_a 2.9121
_cell_length_b 2.9121
_cell_length_c 27.8785
_cell_angle_alpha 90.00
_cell_angle_beta 90.00
_cell_angle_gamma 120.00
_symmetry_space_group_name_H-M 'R -3 m'
_symmetry_Int_Tables_number 166
_symmetry_space_group_name_Hall '-R 3 2"'
loop_
_atom_site_label
_atom_site_fract_x
_atom_site_fract_y
_atom_site_fract_z
_atom_site_occupancy
Cd1 0.0000 0.0000 0.2471 1
Ir1 0.0000 0.0000 0.5000 1
Au1 0.0000 0.0000 0.0000 1
# size of the total moment	0.0	μB per formula unit
# formation energy	0.078	eV per atom



[12]
# BaCu2Ru | Alexandria | GGA-PBEsol | relaxed
data_BaCu2Ru
_cell_length_a 4.2504
_cell_length_b 4.2504
_cell_length_c 16.3283
_cell_angle_alpha 90.00
_cell_angle_beta 90.00
_cell_angle_gamma 120.00
_symmetry_space_group_name_H-M 'R 3 m'
_symmetry_Int_Tables_number 160
_symmetry_space_group_name_Hall 'R 3 -2"'
loop_
_atom_site_label
_atom_site_fract_x
_atom_site_fract_y
_atom_site_fract_z
_atom_site_occupancy
Ba1 0.0000 0.0000 0.0000 1
Cu1 0.0000 0.0000 0.5045 1
Cu2 0.0000 0.0000 0.8168 1
Ru1 0.0000 0.0000 0.1814 1
# size of the total moment	0.0	μB per formula unit
# formation energy	0.273	eV per atom